# GGA-PBE Nd3SmS6, relaxed
# ΔE to the lowest computed polymorph, eV per atom: 0.0000
# Crystal system: trigonal
# Formation energy without anion corrections, eV per formula unit: -20.4
data_Nd3SmS6
_chemical_formula_sum 'Nd18 Sm6 S36'
_symmetry_space_group_name_H-M 'R -3'
_symmetry_Int_Tables_number 148
_symmetry_space_group_name_Hall '-R 3'
_cell_length_a 11.8713
_cell_length_b 11.8713
_cell_length_c 14.0510
_cell_angle_alpha 90.00
_cell_angle_beta 90.00
_cell_angle_gamma 120.00
loop_
_atom_site_label
_atom_site_type_symbol
_atom_site_fract_x
_atom_site_fract_y
_atom_site_fract_z
Nd1 Nd 0.0478 0.7783 0.2039
Sm1 Sm 0.0000 0.0000 0.0000
Sm2 Sm 0.0000 0.0000 0.5000
S1 S 0.0224 0.8081 0.4001
S2 S 0.0311 0.8392 0.8743